Record 1
Compound: K3InP
Source: Alexandria
Functional: PBE-GGA
Structure: relaxed

Properties
Calculated formation energy in eV/f.u.: 0.68
Relative energy among the computed polymorphs in eV per atom: 0.000

CIF file:
```
data_K3InP
_cell_length_a 6.265
_cell_length_b 6.265
_cell_length_c 6.265
_cell_angle_alpha 90.00
_cell_angle_beta 90.00
_cell_angle_gamma 90.00
_space_group_name_H-M_alt 'P 1'
_space_group_IT_number 1
loop_
_space_group_symop_operation_xyz
'x,y,z'
loop_
_atom_site_label
_atom_site_fract_x
_atom_site_fract_y
_atom_site_fract_z
_atom_site_occupancy
P1 0.000 0.000 0.000 1
K1 0.000 0.500 0.000 1
K2 0.000 0.000 0.500 1
K3 0.500 0.000 0.000 1
In1 0.500 0.500 0.500 1
```

Record 2
Compound: YCuIr2
Source: Alexandria
Functional: PBE-GGA
Structure: relaxed

Properties
Calculated formation energy in eV/f.u.: -0.74
Relative energy among the computed polymorphs in eV per atom: 0.105

CIF file:
```
data_YCuIr2
_cell_length_a 4.345
_cell_length_b 2.938
_cell_length_c 5.429
_cell_angle_alpha 76.06
_cell_angle_beta 90.00
_cell_angle_gamma 90.00
_space_group_name_H-M_alt 'P 1'
_space_group_IT_number 1
loop_
_space_group_symop_operation_xyz
'x,y,z'
loop_
_atom_site_label
_atom_site_fract_x
_atom_site_fract_y
_atom_site_fract_z
_atom_site_occupancy
Cu1 0.500 0.750 0.750 1
Ir1 0.000 0.907 0.965 1
Ir2 0.000 0.593 0.535 1
Y1 0.500 0.250 0.250 1
```

Record 3
Compound: Tb2Nd5Er
Source: Alexandria
Functional: PBE-GGA
Structure: relaxed

Properties
Calculated formation energy in eV/f.u.: 0.13
Relative energy among the computed polymorphs in eV per atom: 0.000

CIF file:
```
data_Tb2Nd5Er
_cell_length_a 5.133
_cell_length_b 7.253
_cell_length_c 14.518
_cell_angle_alpha 90.00
_cell_angle_beta 90.00
_cell_angle_gamma 90.00
_space_group_name_H-M_alt 'P 1'
_space_group_IT_number 1
loop_
_space_group_symop_operation_xyz
'x,y,z'
loop_
_atom_site_label
_atom_site_fract_x
_atom_site_fract_y
_atom_site_fract_z
_atom_site_occupancy
Tb1 0.500 0.250 0.624 1
Tb2 0.500 0.750 0.376 1
Tb3 0.500 0.250 0.124 1
Tb4 0.500 0.750 0.876 1
Nd1 0.000 0.000 0.000 1
Nd2 0.000 0.500 0.500 1
Nd3 0.000 0.501 0.752 1
Nd4 0.000 0.499 0.248 1
Nd5 0.000 0.999 0.252 1
Nd6 0.000 0.001 0.748 1
Nd7 0.500 0.252 0.876 1
Nd8 0.500 0.748 0.124 1
Nd9 0.500 0.248 0.376 1
Nd10 0.500 0.752 0.624 1
Er1 0.000 0.000 0.500 1
Er2 0.000 0.500 0.000 1
```

Record 4
Compound: Co2SbRh
Source: Alexandria
Functional: PBE-GGA
Structure: relaxed

Properties
ΔE_f (raw) in eV/atom: 0.014

CIF file:
```
data_Co2SbRh
_cell_length_a 4.565
_cell_length_b 4.565
_cell_length_c 4.565
_cell_angle_alpha 129.52
_cell_angle_beta 129.52
_cell_angle_gamma 74.17
_space_group_name_H-M_alt 'P 1'
_space_group_IT_number 1
loop_
_space_group_symop_operation_xyz
'x,y,z'
loop_
_atom_site_label
_atom_site_fract_x
_atom_site_fract_y
_atom_site_fract_z
_atom_site_occupancy
Co1 0.000 0.000 0.000 1
Co2 0.500 0.500 0.000 1
Rh1 0.250 0.750 0.500 1
Sb1 0.750 0.250 0.500 1
```

Record 5
Compound: TlP3
Source: Alexandria
Functional: PBE-GGA
Structure: relaxed

Properties
Calculated formation energy in eV/f.u.: 1.33

CIF file:
```
data_TlP3
_cell_length_a 3.287
_cell_length_b 4.601
_cell_length_c 5.983
_cell_angle_alpha 90.00
_cell_angle_beta 90.00
_cell_angle_gamma 90.00
_space_group_name_H-M_alt 'P 1'
_space_group_IT_number 1
loop_
_space_group_symop_operation_xyz
'x,y,z'
loop_
_atom_site_label
_atom_site_fract_x
_atom_site_fract_y
_atom_site_fract_z
_atom_site_occupancy
P1 0.000 0.000 0.909 1
P2 0.500 0.000 0.659 1
P3 0.500 0.500 0.819 1
Tl1 0.000 0.500 0.280 1
```

Record 6
Compound: K3C
Source: Alexandria
Functional: PBE-GGA
Structure: relaxed

Properties
Calculated formation energy in eV/f.u.: 5.30
Relative energy among the computed polymorphs in eV per atom: 0.278

CIF file:
```
data_K3C
_cell_length_a 6.393
_cell_length_b 6.393
_cell_length_c 6.393
_cell_angle_alpha 90.00
_cell_angle_beta 90.00
_cell_angle_gamma 90.00
_space_group_name_H-M_alt 'P 1'
_space_group_IT_number 1
loop_
_space_group_symop_operation_xyz
'x,y,z'
loop_
_atom_site_label
_atom_site_fract_x
_atom_site_fract_y
_atom_site_fract_z
_atom_site_occupancy
K1 0.750 0.500 0.000 1
K2 0.250 0.500 0.000 1
K3 0.000 0.750 0.500 1
K4 0.000 0.250 0.500 1
K5 0.500 0.000 0.250 1
K6 0.500 0.000 0.750 1
C1 0.000 0.000 0.000 1
C2 0.500 0.500 0.500 1
```

Record 7
Compound: CaScAu4
Source: Alexandria
Functional: PBE-GGA
Structure: relaxed

Properties
Calculated formation energy in eV/f.u.: -4.21
Relative energy among the computed polymorphs in eV per atom: 0.000

CIF file:
```
data_CaScAu4
_cell_length_a 3.647
_cell_length_b 3.647
_cell_length_c 9.087
_cell_angle_alpha 90.00
_cell_angle_beta 90.00
_cell_angle_gamma 90.00
_space_group_name_H-M_alt 'P 1'
_space_group_IT_number 1
loop_
_space_group_symop_operation_xyz
'x,y,z'
loop_
_atom_site_label
_atom_site_fract_x
_atom_site_fract_y
_atom_site_fract_z
_atom_site_occupancy
Ca1 0.500 0.500 0.500 1
Sc1 0.000 0.000 0.000 1
Au1 0.500 0.500 0.843 1
Au2 0.500 0.500 0.157 1
Au3 0.000 0.000 0.676 1
Au4 0.000 0.000 0.324 1
```

Record 8
Compound: TbPd6Pt
Source: Alexandria
Functional: PBE-GGA
Structure: relaxed

Properties
Calculated formation energy in eV/f.u.: -3.31
Relative energy among the computed polymorphs in eV per atom: 0.000

CIF file:
```
data_TbPd6Pt
_cell_length_a 4.117
_cell_length_b 5.670
_cell_length_c 5.670
_cell_angle_alpha 90.01
_cell_angle_beta 90.00
_cell_angle_gamma 90.00
_space_group_name_H-M_alt 'P 1'
_space_group_IT_number 1
loop_
_space_group_symop_operation_xyz
'x,y,z'
loop_
_atom_site_label
_atom_site_fract_x
_atom_site_fract_y
_atom_site_fract_z
_atom_site_occupancy
Tb1 0.500 0.000 0.000 1
Pd1 0.000 0.743 0.257 1
Pd2 0.000 0.257 0.743 1
Pd3 0.000 0.743 0.743 1
Pd4 0.000 0.257 0.257 1
Pd5 0.500 0.500 0.000 1
Pd6 0.500 0.000 0.500 1
Pt1 0.500 0.500 0.500 1
```

Record 9
Compound: B2Sb5Pd12
Source: Alexandria
Functional: PBE-GGA
Structure: relaxed

Properties
ΔE_f (raw) in eV/atom: -0.283

CIF file:
```
data_B2Sb5Pd12
_cell_length_a 6.210
_cell_length_b 7.935
_cell_length_c 8.233
_cell_angle_alpha 109.63
_cell_angle_beta 90.00
_cell_angle_gamma 113.04
_space_group_name_H-M_alt 'P 1'
_space_group_IT_number 1
loop_
_space_group_symop_operation_xyz
'x,y,z'
loop_
_atom_site_label
_atom_site_fract_x
_atom_site_fract_y
_atom_site_fract_z
_atom_site_occupancy
B1 0.754 0.000 0.000 1
B2 0.246 0.000 0.000 1
Sb1 0.282 0.563 0.693 1
Sb2 0.317 0.633 0.210 1
Sb3 0.000 0.000 0.500 1
Sb4 0.683 0.367 0.790 1
Sb5 0.718 0.437 0.307 1
Pd1 0.031 0.062 0.190 1
Pd2 0.085 0.696 0.974 1
Pd3 0.611 0.696 0.974 1
Pd4 0.121 0.718 0.505 1
Pd5 0.597 0.718 0.505 1
Pd6 0.489 0.977 0.817 1
Pd7 0.511 0.023 0.183 1
Pd8 0.879 0.282 0.495 1
Pd9 0.403 0.282 0.495 1
Pd10 0.915 0.304 0.026 1
Pd11 0.389 0.304 0.026 1
Pd12 0.969 0.938 0.810 1
```

Record 10
Compound: Cd2AgAu
Source: Alexandria
Functional: PBE-GGA
Structure: relaxed

Properties
Calculated formation energy in eV/f.u.: -0.50
Relative energy among the computed polymorphs in eV per atom: 0.005

CIF file:
```
data_Cd2AgAu
_cell_length_a 5.331
_cell_length_b 5.331
_cell_length_c 5.331
_cell_angle_alpha 133.81
_cell_angle_beta 133.96
_cell_angle_gamma 67.27
_space_group_name_H-M_alt 'P 1'
_space_group_IT_number 1
loop_
_space_group_symop_operation_xyz
'x,y,z'
loop_
_atom_site_label
_atom_site_fract_x
_atom_site_fract_y
_atom_site_fract_z
_atom_site_occupancy
Au1 0.250 0.750 0.500 1
Ag1 0.500 0.500 0.000 1
Cd1 0.000 0.000 0.000 1
Cd2 0.750 0.250 0.500 1
```

Record 11
Compound: KZnSN2
Source: Alexandria
Functional: PBE-GGA
Structure: relaxed

Properties
ΔE_f (raw) in eV/atom: 1.096
Relative energy among the computed polymorphs in eV per atom: 0.000

CIF file:
```
data_KZnSN2
_cell_length_a 4.331
_cell_length_b 4.331
_cell_length_c 4.878
_cell_angle_alpha 90.00
_cell_angle_beta 90.00
_cell_angle_gamma 90.00
_space_group_name_H-M_alt 'P 1'
_space_group_IT_number 1
loop_
_space_group_symop_operation_xyz
'x,y,z'
loop_
_atom_site_label
_atom_site_fract_x
_atom_site_fract_y
_atom_site_fract_z
_atom_site_occupancy
S1 0.000 0.000 0.500 1
Zn1 0.000 0.000 0.000 1
K1 0.500 0.500 0.500 1
N1 0.000 0.500 0.000 1
N2 0.500 0.000 0.000 1
```

Record 12
Compound: FeTcP2
Source: Alexandria
Functional: PBE-GGA
Structure: relaxed

Properties
Calculated formation energy in eV/f.u.: 1.37
Relative energy among the computed polymorphs in eV per atom: 0.751

CIF file:
```
data_FeTcP2
_cell_length_a 4.194
_cell_length_b 4.194
_cell_length_c 4.194
_cell_angle_alpha 60.00
_cell_angle_beta 60.00
_cell_angle_gamma 60.00
_space_group_name_H-M_alt 'P 1'
_space_group_IT_number 1
loop_
_space_group_symop_operation_xyz
'x,y,z'
loop_
_atom_site_label
_atom_site_fract_x
_atom_site_fract_y
_atom_site_fract_z
_atom_site_occupancy
Fe1 0.500 0.500 0.500 1
P1 0.000 0.000 0.000 1
P2 0.250 0.250 0.250 1
Tc1 0.750 0.750 0.750 1
```

no.,uncorrected energy (eV/atom)
1,-2.15
2,-7.26
3,-4.69
4,-6.41
5,-4.32
6,-1.80
7,-4.28
8,-5.64
9,-5.35
10,-2.11
11,-3.53
12,-7.07